Entry 1:
# PrCd2Hg6

A relaxed structure of PrCd2Hg6 (PBE-GGA, Alexandria via LeMat-Bulk).

Summary:
**ΔH_f (0 K)**: -0.12 eV/atom
**Distance to the lowest polymorph of the same formula**: 0.0490 eV/atom
**SG**: C2/m

a b c (Å): 3.2607 9.0533 9.0533
angles (deg): 59.65 78.93 78.93
Closest atoms and distances in Å follow each position.
Sites, in units of the cell vectors:
Pr 0.0000 0.0000 0.0000  2 Pr 3.26, 12 Hg 3.39-3.50
Cd 0.1551 0.3498 0.3498  10 Hg 3.09-3.42, 2 Cd 3.26
Cd 0.8449 0.6502 0.6502  10 Hg 3.09-3.42, 2 Cd 3.26
Hg 0.3232 0.0053 0.3444  6 Hg 3.04-3.26, 2 Cd 3.09-3.41
Hg 0.6768 0.9947 0.6556  6 Hg 3.04-3.26, 2 Cd 3.09-3.41
Hg 0.6768 0.6556 0.9947  6 Hg 3.04-3.26, 2 Cd 3.09-3.41
Hg 0.5000 0.3302 0.6698  5 Hg 3.04-3.26, 4 Cd 3.20-3.22, 2 Pr 3.39
Hg 0.5000 0.6698 0.3302  5 Hg 3.04-3.26, 4 Cd 3.20-3.22, 2 Pr 3.39
Hg 0.3232 0.3444 0.0053  6 Hg 3.04-3.26, 2 Cd 3.09-3.41

***

Entry 2:
# NaNd3Tm2Te6

A relaxed structure of NaNd3Tm2Te6 (PBE-GGA, Alexandria via LeMat-Bulk).

Summary:
**Raw formation energy**: -15.90 eV per formula unit
**SG**: C2/m

a b c (Å): 4.3952 8.9313 9.9598
angles (deg): 103.68 102.75 90.00
Closest atoms and distances in Å follow each position.
Sites, in units of the cell vectors:
Na 0.5000 0.0000 0.0000  6 Te 3.09-3.19
Nd 0.5000 0.5000 0.0000  6 Te 3.18-3.22
Nd 0.8411 0.1795 0.6822  6 Te 3.13-3.25
Nd 0.1589 0.8205 0.3178  6 Te 3.13-3.25
Tm 0.8349 0.6635 0.6698  6 Te 2.99-3.11
Tm 0.1651 0.3365 0.3302  6 Te 2.99-3.11
Te 0.3306 0.9067 0.6612  2 Tm 3.11, 1 Na 3.19, 3 Nd 3.24-3.25
Te 0.6706 0.5735 0.3413  3 Tm 3.03-3.10, 3 Nd 3.16-3.22
Te 0.6694 0.0933 0.3388  2 Tm 3.11, 1 Na 3.19, 3 Nd 3.24-3.25
Te 0.0067 0.2461 0.0134  1 Tm 2.99, 2 Na 3.09, 3 Nd 3.13-3.18
Te 0.9933 0.7539 0.9866  1 Tm 2.99, 2 Na 3.09, 3 Nd 3.13-3.18
Te 0.3294 0.4265 0.6587  3 Tm 3.03-3.10, 3 Nd 3.16-3.22

***

Entry 3:
# Er2SnOs

A relaxed structure of Er2SnOs (PBE-GGA, Alexandria via LeMat-Bulk).

Summary:
**ΔH_f (0 K)**: -0.49 eV/atom
**Distance to the lowest polymorph of the same formula**: 0.0000 eV/atom
**SG**: P4/mmm

a b c (Å): 3.3672 3.3672 8.1154
angles (deg): 90.00 90.00 90.00
Closest atoms and distances in Å follow each position.
Sites, in units of the cell vectors:
Os 0.5000 0.5000 0.0000  8 Er 2.90
Sn 0.5000 0.5000 0.5000  4 Sn 3.37, 8 Er 3.38
Er 0.0000 0.0000 0.7952  4 Os 2.90
Er 0.0000 0.0000 0.2048  4 Os 2.90

***

Entry 4:
# BaBe4Te3O12

A relaxed structure of BaBe4Te3O12 (PBE-GGA, Alexandria via LeMat-Bulk).

Summary:
**Raw formation energy**: -34.84 eV per formula unit
**SG**: R32

a b c (Å): 6.6264 6.6264 6.6264
angles (deg): 103.16 103.16 103.16
Closest atoms and distances in Å follow each position.
Sites, in units of the cell vectors:
Ba 0.0000 0.0000 0.0000  6 O 2.74
Be 0.9392 0.0608 0.5000  3 O 1.54-1.57
Be 0.0608 0.5000 0.9392  3 O 1.54-1.57
Be 0.5000 0.9392 0.0608  3 O 1.54-1.57
Be 0.5000 0.5000 0.5000  3 O 1.57
Te 0.5500 0.4500 0.0000  4 O 1.98-2.18
Te 0.4500 0.0000 0.5500  4 O 1.98-2.18
Te 0.0000 0.5500 0.4500  4 O 1.98-2.18
O 0.5000 0.3487 0.6513  1 Be 1.57
O 0.9099 0.5000 0.0901  1 Be 1.57
O 0.0901 0.9099 0.5000  1 Be 1.57
O 0.5000 0.0901 0.9099  1 Be 1.57
O 0.3890 0.9845 0.2393  1 Be 1.54
O 0.2393 0.3890 0.9845  1 Be 1.54
O 0.9845 0.2393 0.3890  1 Be 1.54
O 0.6110 0.7607 0.0155  1 Be 1.54
O 0.0155 0.6110 0.7607  1 Be 1.54
O 0.7607 0.0155 0.6110  1 Be 1.54
O 0.6513 0.5000 0.3487  1 Be 1.57
O 0.3487 0.6513 0.5000  1 Be 1.57

***

Entry 5:
# Y2PbBr

A relaxed structure of Y2PbBr (PBE-GGA, Alexandria via LeMat-Bulk).

Summary:
**Raw formation energy**: -3.08 eV per formula unit
**Distance to the lowest polymorph of the same formula**: 0.0000 eV/atom
**SG**: P4mm

a b c (Å): 4.3491 4.3491 6.0755
angles (deg): 90.00 90.00 90.00
Closest atoms and distances in Å follow each position.
Sites, in units of the cell vectors:
Pb 0.5000 0.5000 0.8756  6 Y 3.04-3.08
Y 0.0000 0.0000 0.8742  2 Br 3.04, 4 Pb 3.08
Y 0.5000 0.5000 0.3757  2 Pb 3.04, 4 Br 3.08
Br 0.0000 0.0000 0.3745  6 Y 3.04-3.08

***

Entry 6:
# Y2AgBr

A relaxed structure of Y2AgBr (PBE-GGA, Alexandria via LeMat-Bulk).

Summary:
**Raw formation energy**: -2.10 eV per formula unit
**Distance to the lowest polymorph of the same formula**: 0.0767 eV/atom
**SG**: Imm2

a b c (Å): 8.1358 8.1358 8.1358
angles (deg): 154.16 152.03 38.45
Closest atoms and distances in Å follow each position.
Sites, in units of the cell vectors:
Y 0.9652 0.9652 0.0000  4 Ag 2.96, 2 Br 3.16
Y 0.1899 0.6899 0.5000  2 Ag 2.94, 4 Br 3.15
Br 0.7972 0.2972 0.5000  6 Y 3.15-3.16
Ag 0.5476 0.5476 0.0000  6 Y 2.94-2.96

***

Entry 7:
# Ac4TmTh3Sb8

A relaxed structure of Ac4TmTh3Sb8 (PBE-GGA, Alexandria via LeMat-Bulk).

Summary:
**Raw formation energy**: -17.25 eV per formula unit
**SG**: R-3m

a b c (Å): 9.2248 9.2821 9.2254
angles (deg): 119.79 120.00 90.00
Closest atoms and distances in Å follow each position.
Sites, in units of the cell vectors:
Ac 0.5000 0.0000 0.0000  6 Sb 3.39-3.40
Ac 0.5000 0.0000 0.5000  6 Sb 3.35
Ac 0.0000 0.0000 0.0000  6 Sb 3.35
Ac 0.0000 0.0000 0.5000  6 Sb 3.35
Tm 0.0000 0.5000 0.0000  6 Sb 3.15
Th 0.5000 0.5000 0.0000  6 Sb 3.20
Th 0.5000 0.5000 0.5000  6 Sb 3.20
Th 0.0000 0.5000 0.5000  6 Sb 3.20
Sb 0.2407 0.7292 0.9885  1 Tm 3.15, 2 Th 3.20, 3 Ac 3.35-3.40
Sb 0.2409 0.7294 0.4818  1 Tm 3.15, 2 Th 3.20, 3 Ac 3.35-3.39
Sb 0.2557 0.2672 0.5114  3 Th 3.20, 3 Ac 3.35
Sb 0.7478 0.7292 0.9885  1 Tm 3.15, 2 Th 3.20, 3 Ac 3.35-3.40
Sb 0.2522 0.2708 0.0115  1 Tm 3.15, 2 Th 3.20, 3 Ac 3.35-3.40
Sb 0.7443 0.7328 0.4886  3 Th 3.20, 3 Ac 3.35
Sb 0.7591 0.2706 0.5182  1 Tm 3.15, 2 Th 3.20, 3 Ac 3.35-3.39
Sb 0.7593 0.2708 0.0115  1 Tm 3.15, 2 Th 3.20, 3 Ac 3.35-3.40

***

Entry 8:
# Tb2CeCd4

A relaxed structure of Tb2CeCd4 (PBE-GGA, Alexandria via LeMat-Bulk).

Summary:
**ΔH_f (0 K)**: -0.07 eV/atom
**SG**: P4/mmm

a b c (Å): 5.3019 5.3019 7.2154
angles (deg): 90.00 90.00 90.00
Closest atoms and distances in Å follow each position.
Sites, in units of the cell vectors:
Tb 0.0000 0.0000 0.0000  8 Cd 3.30
Tb 0.5000 0.5000 0.5000  8 Cd 3.12
Ce 0.5000 0.5000 0.0000  8 Cd 3.30, 2 Tb 3.61
Cd 0.5000 0.0000 0.2716  4 Tb 3.12-3.30, 1 Cd 3.30, 2 Ce 3.30
Cd 0.0000 0.5000 0.7284  4 Tb 3.12-3.30, 1 Cd 3.30, 2 Ce 3.30
Cd 0.5000 0.0000 0.7284  4 Tb 3.12-3.30, 1 Cd 3.30, 2 Ce 3.30
Cd 0.0000 0.5000 0.2716  4 Tb 3.12-3.30, 1 Cd 3.30, 2 Ce 3.30

***

Entry 9:
# TaMnBe2

A relaxed structure of TaMnBe2 (PBE-GGA, Alexandria via LeMat-Bulk).

Summary:
**ΔH_f (0 K)**: -0.12 eV/atom
**Distance to the lowest polymorph of the same formula**: 0.0000 eV/atom
**SG**: Amm2

a b c (Å): 3.2644 3.0492 4.7180
angles (deg): 71.19 90.00 90.00
Closest atoms and distances in Å follow each position.
Sites, in units of the cell vectors:
Be 0.0000 0.1811 0.0120  2 Be 1.98
Be 0.5000 0.0570 0.2624  2 Be 1.98
Mn 0.0000 0.4728 0.4300  7 Be 2.35-2.60
Ta 0.5000 0.7891 0.7956  7 Be 2.38-2.58

***

Entry 10:
# Lu2TlAg

A relaxed structure of Lu2TlAg (PBE-GGA, Alexandria via LeMat-Bulk).

Summary:
**ΔH_f (0 K)**: -0.32 eV/atom
**Distance to the lowest polymorph of the same formula**: 0.0007 eV/atom
**SG**: P4/mmm

a b c (Å): 3.5967 3.5967 7.5157
angles (deg): 90.00 90.00 90.00
Closest atoms and distances in Å follow each position.
Sites, in units of the cell vectors:
Tl 0.5000 0.5000 0.5000  8 Lu 3.23, 4 Tl 3.60
Lu 0.0000 0.0000 0.7659  4 Ag 3.09, 4 Tl 3.23
Lu 0.0000 0.0000 0.2341  4 Ag 3.09, 4 Tl 3.23
Ag 0.5000 0.5000 0.0000  8 Lu 3.09

***

Entry 11:
# Ac2PrSi3Pd12

A relaxed structure of Ac2PrSi3Pd12 (PBE-GGA, Alexandria via LeMat-Bulk).

Summary:
**Raw formation energy**: -8.65 eV per formula unit
**SG**: R-3m

a b c (Å): 7.0328 7.0328 7.0328
angles (deg): 84.39 84.39 84.39
Closest atoms and distances in Å follow each position.
Sites, in units of the cell vectors:
Ac 0.6343 0.6343 0.6343  3 Pd 2.70
Ac 0.3657 0.3657 0.3657  3 Pd 2.70
Pr 0.0000 0.0000 0.0000  6 Pd 2.77
Si 0.5000 0.0000 0.0000  6 Pd 2.38-2.65
Si 0.0000 0.5000 0.0000  6 Pd 2.38-2.65
Si 0.0000 0.0000 0.5000  6 Pd 2.38-2.65
Pd 0.3609 0.3609 0.9263  2 Si 2.65, 1 Pd 2.75
Pd 0.8188 0.8188 0.3265  1 Si 2.38
Pd 0.3265 0.8188 0.8188  1 Si 2.38
Pd 0.9263 0.3609 0.3609  2 Si 2.65, 1 Pd 2.75
Pd 0.8188 0.3265 0.8188  1 Si 2.38
Pd 0.3609 0.9263 0.3609  2 Si 2.65, 1 Pd 2.75
Pd 0.6391 0.6391 0.0737  2 Si 2.65, 1 Pd 2.75
Pd 0.1812 0.1812 0.6735  1 Si 2.38
Pd 0.6735 0.1812 0.1812  1 Si 2.38
Pd 0.0737 0.6391 0.6391  2 Si 2.65, 1 Pd 2.75
Pd 0.1812 0.6735 0.1812  1 Si 2.38
Pd 0.6391 0.0737 0.6391  2 Si 2.65, 1 Pd 2.75

***

Entry 12:
# TbSi4Ni12

A relaxed structure of TbSi4Ni12 (PBE-GGA, Alexandria via LeMat-Bulk).

Summary:
**Raw formation energy**: -0.74 eV per formula unit
**SG**: Im-3

a b c (Å): 6.7210 6.7210 6.7210
angles (deg): 109.47 109.47 109.47
Closest atoms and distances in Å follow each position.
Sites, in units of the cell vectors:
Tb 0.0000 0.0000 0.0000  12 Ni 2.99
Si 0.0000 0.5000 0.0000  6 Ni 2.21
Si 0.5000 0.0000 0.0000  6 Ni 2.21
Si 0.5000 0.5000 0.5000  6 Ni 2.21
Si 0.0000 0.0000 0.5000  6 Ni 2.21
Ni 0.8407 0.3504 0.1911  2 Si 2.21, 1 Ni 2.32
Ni 0.3504 0.5097 0.1593  2 Si 2.21, 1 Ni 2.32
Ni 0.8089 0.1593 0.6496  2 Si 2.21, 1 Ni 2.32
Ni 0.3504 0.1911 0.8407  2 Si 2.21, 1 Ni 2.32
Ni 0.1911 0.8407 0.3504  2 Si 2.21, 1 Ni 2.32
Ni 0.6496 0.4903 0.8407  2 Si 2.21, 1 Ni 2.32
Ni 0.5097 0.1593 0.3504  2 Si 2.21, 1 Ni 2.32
Ni 0.4903 0.8407 0.6496  2 Si 2.21, 1 Ni 2.32
Ni 0.6496 0.8089 0.1593  2 Si 2.21, 1 Ni 2.32
Ni 0.8407 0.6496 0.4903  2 Si 2.21, 1 Ni 2.32
Ni 0.1593 0.3504 0.5097  2 Si 2.21, 1 Ni 2.32
Ni 0.1593 0.6496 0.8089  2 Si 2.21, 1 Ni 2.32

***

The calculated density results, record by record, are as follows: 11.585, 6.998, 11.612, 4.713, 6.718, 5.522, 8.141, 7.430, 9.484, 11.309, 9.467, 6.932 g/cm3.